No. 1
YPd4 | PBE | optimized geometry

Summary:
* crystal system: tetragonal
* E_form: -0.4568 eV per atom

a = 7.144 Å, b = 7.144 Å, c = 3.523 Å
α = 90.00°, β = 90.00°, γ = 90.00°
Sites, in units of the cell vectors:
Y 0.000 0.000 0.000
Y 0.500 0.500 0.000
Pd 0.134 0.366 0.000
Pd 0.163 0.663 0.500
Pd 0.337 0.163 0.500
Pd 0.366 0.866 0.000
Pd 0.634 0.134 0.000
Pd 0.663 0.837 0.500
Pd 0.837 0.337 0.500
Pd 0.866 0.634 0.000

---

No. 2
Sc3ZnN | PBE | optimized geometry

Summary:
* crystal system: cubic

a = 4.396 Å, b = 4.396 Å, c = 4.396 Å
α = 90.00°, β = 90.00°, γ = 90.00°
Sites, in units of the cell vectors:
Sc 0.000 0.000 0.500
Sc 0.000 0.500 0.000
Sc 0.500 0.000 0.000
Zn 0.500 0.500 0.500
N 0.000 0.000 0.000

---

No. 3
Ni3C | PBE | optimized geometry

Summary:
* crystal system: cubic
* distance to the lowest polymorph of the same formula: 822.6 meV per atom

a = 3.778 Å, b = 3.778 Å, c = 3.778 Å
α = 60.00°, β = 60.00°, γ = 60.00°
Sites, in units of the cell vectors:
Ni 0.000 0.000 0.000
Ni 0.250 0.250 0.250
Ni 0.750 0.750 0.750
C 0.500 0.500 0.500

---

No. 4
Ho3Sc3Te2Os | PBE | optimized geometry

Summary:
* crystal system: hexagonal

a = 8.057 Å, b = 8.057 Å, c = 3.917 Å
α = 90.00°, β = 90.00°, γ = 120.00°
Sites, in units of the cell vectors:
Ho 0.000 0.246 0.000
Ho 0.246 0.000 0.000
Ho 0.754 0.754 0.000
Sc 0.000 0.613 0.500
Sc 0.387 0.387 0.500
Sc 0.613 0.000 0.500
Te 0.333 0.667 0.000
Te 0.667 0.333 0.000
Os 0.000 0.000 0.500

---

no.,spin magnetization (μB/atom),electronic total energy (eV/cell)
1,0.00,-58.900
2,0.00,-33.454
3,0.02,-22.247
4,0.00,-55.865